Below is a relaxed NaCdIn2F6 crystal, with properties calculated at the PBE level.

Unit cell a=6.3438 b=6.3438 c=12.9493 alpha=90.00 beta=90.00 gamma=120.00
Space group R3 (No. 146, hexagonal axes)
Asymmetric unit:
Na (0.0000, 0.0000, 0.0000) (multiplicity 3)
Cd (0.0000, 0.0000, 0.5276) (multiplicity 3)
In (0.0000, 0.0000, 0.2673) (multiplicity 3)
In (0.0000, 0.0000, 0.7441) (multiplicity 3)
F (0.0279, 0.7574, 0.8644) (multiplicity 9)
F (0.0971, 0.3962, 0.0554) (multiplicity 9)

Calculated values
* formation energy (no corrections): -2.129 eV per atom
* crystal system: trigonal
* theoretical density: 5.3 g/cm³